DFT (PBE) results for a relaxed NaInS2 crystal.

Results
N(E_F) (states/eV/f.u.): 1.1
Uncorrected formation energy (kJ per mole of atoms): -69
Crystal system: trigonal
Electronic total energy (eV per formula unit): -15.15
Total magnetization (μB/f.u.): 0.000

Cell: 4.119 4.119 7.083 Å, 90.00 90.00 120.00°
Sites, in units of the cell vectors:
Na 0.000 0.000 0.000
In 0.333 0.667 0.509
S 0.333 0.667 0.838
S 0.667 0.333 0.346